# 1
Here is a relaxed structure of RbCaI2N from Alexandria. Energies are from GGA-PBE.

Formation energy (no corrections) = -0.605 eV per atom
DOS(E_F) = 0.012 states/eV/atom
Crystal system = tetragonal
ΔE to the lowest computed polymorph = 0 meV per atom
Energy = -17.42 eV/f.u.

abc: 6.3511 6.3511 4.8356
angles: 90.00 90.00 90.00
Closest atoms and distances in Å follow each position.
Atoms (fractional coordinates):
1 I 0.5000 0.0000 0.0000  2 Ca 3.18
2 I 0.0000 0.5000 0.0000  2 Ca 3.18
3 Rb 0.5000 0.5000 0.5000  8 I 3.99
4 N 0.0000 0.0000 0.5000  2 Ca 2.42
5 Ca 0.0000 0.0000 0.0000  2 N 2.42

---

# 2
Here is a relaxed structure of Ca2RhIN from Alexandria. Energies are from GGA-PBE.

Formation energy (no corrections) = -0.746 eV per atom
DOS(E_F) = 0.148 states/eV/atom
Crystal system = tetragonal
Energy = -24.96 eV/f.u.

abc: 5.2613 5.2613 3.8861
angles: 90.00 90.00 90.00
Closest atoms and distances in Å follow each position.
Atoms (fractional coordinates):
1 Ca 0.5000 0.0000 0.0000  2 N 2.63
2 Ca 0.0000 0.5000 0.0000  2 N 2.63
3 N 0.0000 0.0000 0.0000  2 Rh 1.94
4 I 0.5000 0.5000 0.5000  8 Ca 3.27
5 Rh 0.0000 0.0000 0.5000  2 N 1.94

---

# 3
Here is a relaxed structure of CaRhI2N from Alexandria. Energies are from GGA-PBE.

Formation energy (no corrections) = -0.203 eV per atom
DOS(E_F) = 0.478 states/eV/atom
Crystal system = tetragonal
ΔE to the lowest computed polymorph = 0 meV per atom
Energy = -21.79 eV/f.u.

abc: 5.7355 5.7355 3.7847
angles: 90.00 90.00 90.00
Closest atoms and distances in Å follow each position.
Atoms (fractional coordinates):
1 Rh 0.0000 0.0000 0.0000  2 N 1.89
2 Ca 0.5000 0.5000 0.5000  8 I 3.44, 2 Ca 3.78
3 I 0.5000 0.0000 0.0000  2 Rh 2.87
4 I 0.0000 0.5000 0.0000  2 Rh 2.87
5 N 0.0000 0.0000 0.5000  2 Rh 1.89

---

Copy entry 2 word for word.
Here is a relaxed structure of Ca2RhIN from Alexandria. Energies are from GGA-PBE.

Formation energy (no corrections) = -0.746 eV per atom
DOS(E_F) = 0.148 states/eV/atom
Crystal system = tetragonal
Energy = -24.96 eV/f.u.

abc: 5.2613 5.2613 3.8861
angles: 90.00 90.00 90.00
Closest atoms and distances in Å follow each position.
Atoms (fractional coordinates):
1 Ca 0.5000 0.0000 0.0000  2 N 2.63
2 Ca 0.0000 0.5000 0.0000  2 N 2.63
3 N 0.0000 0.0000 0.0000  2 Rh 1.94
4 I 0.5000 0.5000 0.5000  8 Ca 3.27
5 Rh 0.0000 0.0000 0.5000  2 N 1.94

---

> Which of these has the highest DOS(E_F)?

CaRhI2N